Entry 1:
VASP calculation (SCAN) on a crystal of Sr3Fe2O5 relaxed with PBEsol.

- Crystal system: orthorhombic
- Energy: -1.156 Ry/atom
- Formation energy from raw total energies: -2305.6 meV per atom
- Energy above the lowest structure with this stoichiometry: 0.077 eV per atom
- Space group: Cmmm, No. 65

a = 3.397 Å, b = 3.864 Å, c = 10.434 Å
α = 100.67°, β = 90.00°, γ = 90.00°
Last column: magnetic moment on the atom in μB.
Sites, in units of the cell vectors:
O 0.000 0.094 0.187  0.13
O 0.000 0.906 0.813  0.13
O 0.000 0.500 0.000  0.11
O 0.000 0.314 0.627  0.10
O 0.000 0.686 0.373  0.10
Fe 0.000 0.407 0.813  3.26
Fe 0.000 0.593 0.187  3.26
Sr 0.500 0.182 0.365  -0.01
Sr 0.500 0.818 0.635  -0.01
Sr 0.500 0.000 0.000  -0.03

***

Entry 2:
VASP calculation (SCAN) on a crystal of Sr2FeO4 relaxed with PBEsol.

- Crystal system: tetragonal
- Energy: -1.108 Ry/atom
- Formation energy from raw total energies: -2560.7 meV per atom
- Space group: I4/mmm, No. 139

a = 3.806 Å, b = 3.806 Å, c = 6.702 Å
α = 106.49°, β = 106.49°, γ = 90.00°
Last column: magnetic moment on the atom in μB.
Sites, in units of the cell vectors:
Sr 0.358 0.358 0.716  0.01
Sr 0.642 0.642 0.284  0.01
O 0.844 0.844 0.689  0.07
O 0.156 0.156 0.311  0.07
O 0.500 0.000 0.000  0.11
O 0.000 0.500 0.000  0.11
Fe 0.000 0.000 0.000  3.17

***

Entry 3:
VASP calculation (SCAN) on a crystal of Sr2Fe2O5 relaxed with PBEsol.

- Crystal system: orthorhombic
- Energy: -1.087 Ry/atom
- Formation energy from raw total energies: -2351.2 meV per atom
- Space group: Fmmm, No. 69

a = 5.361 Å, b = 5.360 Å, c = 8.942 Å
α = 107.28°, β = 107.28°, γ = 90.54°
Last column: magnetic moment on the atom in μB.
Sites, in units of the cell vectors:
Sr 0.900 0.881 0.281  0.00
Sr 0.100 0.119 0.719  0.00
Sr 0.619 0.600 0.719  0.00
Sr 0.381 0.400 0.281  0.00
O 0.745 0.245 0.491  -0.17
O 0.750 0.750 0.500  -0.16
O 0.255 0.755 0.509  -0.17
O 0.873 0.373 0.217  0.13
O 0.127 0.627 0.783  0.13
O 0.677 0.823 0.000  0.33
O 0.656 0.156 0.783  0.13
O 0.323 0.177 0.000  0.33
O 0.250 0.250 0.500  -0.16
O 0.344 0.844 0.217  0.13
Fe 0.500 0.000 0.500  -3.64
Fe 0.000 0.500 0.500  -3.64
Fe 0.315 0.815 0.000  3.90
Fe 0.685 0.185 0.000  3.90